# 1
Here is TbEr3Cd after structural relaxation from the Alexandria database. Energies are from PBE.

Computed properties:
Relative energy among the computed polymorphs   125 meV per atom
VASP energy   -3.78 eV per atom
Formation energy   66 meV per atom
Magnetization   0.0 μB per formula unit

a b c (Å): 3.6690 9.1034 9.5282
angles (deg): 90.00 90.00 78.44
Sites, in units of the cell vectors:
Tb 0.4842 0.5279 0.7500
Tb 0.5158 0.4721 0.2500
Er 0.1042 0.2928 0.9938
Er 0.8958 0.7072 0.0062
Er 0.1042 0.2928 0.5062
Er 0.8958 0.7072 0.4938
Er 0.2988 0.9023 0.7500
Er 0.7012 0.0977 0.2500
Cd 0.6654 0.1704 0.7500
Cd 0.3346 0.8296 0.2500

# 2
Here is Nd2Sm8Tl after structural relaxation from the Alexandria database. Energies are from PBE.

Computed properties:
Relative energy among the computed polymorphs   63 meV per atom
VASP energy   -4.49 eV per atom
Formation energy   26 meV per atom
Magnetization   0.0 μB per formula unit

a b c (Å): 5.5783 7.7233 9.9628
angles (deg): 112.81 106.26 90.00
Sites, in units of the cell vectors:
Nd 0.1926 0.6926 0.3852
Nd 0.8074 0.3074 0.6148
Sm 0.6364 0.8646 0.2728
Sm 0.3636 0.5917 0.7272
Sm 0.1783 0.1783 0.3566
Sm 0.0000 0.2595 0.0000
Sm 0.8217 0.8217 0.6434
Sm 0.6364 0.4083 0.2728
Sm 0.3636 0.1354 0.7272
Sm 0.0000 0.7405 0.0000
Tl 0.5000 0.0000 0.0000